VASP calculation (GGA-PBE) on a geometry-optimized La6Pt5 structure.

Structure (CIF):
```
data_La6Pt5
_space_group_name_H-M_alt 'C 1 2/m 1'
_space_group_IT_number 12
_space_group_name_Hall '-C 2y'
_cell_length_a 7.374
_cell_length_b 12.755
_cell_length_c 7.363
_cell_angle_alpha 90.00
_cell_angle_beta 109.33
_cell_angle_gamma 90.00
loop_
_atom_site_label
_atom_site_fract_x
_atom_site_fract_y
_atom_site_fract_z
La1 0.239 0.000 0.253
La2 0.240 0.173 0.741
Pt1 0.000 0.000 0.500
Pt2 0.000 0.168 0.000
Pt3 0.000 0.338 0.500
```

Summary:
The value obtained for the uncorrected energy is -6.526 eV per atom. The value obtained for the size of the total moment is 0.000 μB per formula unit. Its crystal system is monoclinic. The density comes out at 9.19 g cm⁻³. The value obtained for the density of states at the Fermi level is 8.59 states/eV/f.u. The formation energy comes out at -1.092 eV/atom.



VASP calculation (GGA-PBE) on a geometry-optimized La3Pt structure.

Structure (CIF):
```
data_La3Pt
_space_group_name_H-M_alt 'P m m 2'
_space_group_IT_number 25
_space_group_name_Hall 'P 2 -2'
_cell_length_a 3.814
_cell_length_b 3.820
_cell_length_c 9.446
_cell_angle_alpha 90.00
_cell_angle_beta 90.00
_cell_angle_gamma 90.00
loop_
_atom_site_label
_atom_site_fract_x
_atom_site_fract_y
_atom_site_fract_z
La1 0.000 0.000 0.000
La2 0.000 0.500 0.342
La3 0.500 0.500 0.717
Pt1 0.500 0.000 0.475
```

Summary:
The value obtained for the uncorrected energy is -5.602 eV per atom. The value obtained for the size of the total moment is 0.000 μB per formula unit. Its crystal system is orthorhombic. The density comes out at 7.38 g cm⁻³. The value obtained for the density of states at the Fermi level is 4.75 states/eV/f.u. The formation energy comes out at -0.396 eV/atom.



VASP calculation (GGA-PBE) on a geometry-optimized La3Pt structure.

Structure (CIF):
```
data_La3Pt
_space_group_name_H-M_alt 'F m -3 m'
_space_group_IT_number 225
_space_group_name_Hall '-F 4 2 3'
_cell_length_a 7.547
_cell_length_b 7.547
_cell_length_c 7.547
_cell_angle_alpha 90.00
_cell_angle_beta 90.00
_cell_angle_gamma 90.00
loop_
_atom_site_label
_atom_site_fract_x
_atom_site_fract_y
_atom_site_fract_z
La1 0.000 0.000 0.000
La2 0.250 0.250 0.250
Pt1 0.000 0.000 0.500
```

Summary:
The value obtained for the uncorrected energy is -5.495 eV per atom. The value obtained for the size of the total moment is 0.013 μB per formula unit. Its crystal system is cubic. The density comes out at 9.45 g cm⁻³. The value obtained for the density of states at the Fermi level is 7.35 states/eV/f.u. The formation energy comes out at -0.289 eV/atom.



VASP calculation (GGA-PBE) on a geometry-optimized La3Pt structure.

Structure (CIF):
```
data_La3Pt
_space_group_name_H-M_alt 'P 4/m m m'
_space_group_IT_number 123
_space_group_name_Hall '-P 4 2'
_cell_length_a 3.730
_cell_length_b 3.730
_cell_length_c 8.930
_cell_angle_alpha 90.00
_cell_angle_beta 90.00
_cell_angle_gamma 90.00
loop_
_atom_site_label
_atom_site_fract_x
_atom_site_fract_y
_atom_site_fract_z
La1 0.000 0.000 0.000
La2 0.500 0.500 0.309
Pt1 0.000 0.000 0.500
```

Summary:
The value obtained for the uncorrected energy is -5.723 eV per atom. The value obtained for the size of the total moment is 0.001 μB per formula unit. Its crystal system is tetragonal. The density comes out at 8.18 g cm⁻³. The value obtained for the density of states at the Fermi level is 6.80 states/eV/f.u. The formation energy comes out at -0.518 eV/atom.



VASP calculation (GGA-PBE) on a geometry-optimized La2Pt structure.

Structure (CIF):
```
data_La2Pt
_space_group_name_H-M_alt 'I 41/a m d'
_space_group_IT_number 141
_cell_length_a 4.496
_cell_length_b 4.496
_cell_length_c 31.783
_cell_angle_alpha 90.00
_cell_angle_beta 90.00
_cell_angle_gamma 90.00
loop_
_space_group_symop_operation_xyz
'x,y,z'
'-x,-y,-z'
'-y+1/4,x+3/4,z+1/4'
'y+1/4,-x+3/4,-z+1/4'
'-x+1/2,-y,z+1/2'
'x+1/2,y,-z+1/2'
'y+1/4,-x+1/4,z+3/4'
'-y+1/4,x+1/4,-z+3/4'
'x,-y,-z'
'-x,y,z'
'-y+1/4,-x+1/4,-z+3/4'
'y+1/4,x+1/4,z+3/4'
'-x+1/2,y,-z+1/2'
'x+1/2,-y,z+1/2'
'y+1/4,x+3/4,-z+1/4'
'-y+1/4,-x+3/4,z+1/4'
'x+1/2,y+1/2,z+1/2'
'-x+1/2,-y+1/2,-z+1/2'
'-y+3/4,x+1/4,z+3/4'
'y+3/4,-x+1/4,-z+3/4'
'-x,-y+1/2,z'
'x,y+1/2,-z'
'y+3/4,-x+3/4,z+1/4'
'-y+3/4,x+3/4,-z+1/4'
'x+1/2,-y+1/2,-z+1/2'
'-x+1/2,y+1/2,z+1/2'
'-y+3/4,-x+3/4,-z+1/4'
'y+3/4,x+3/4,z+1/4'
'-x,y+1/2,-z'
'x,-y+1/2,z'
'y+3/4,x+1/4,-z+3/4'
'-y+3/4,-x+1/4,z+3/4'
loop_
_atom_site_label
_atom_site_fract_x
_atom_site_fract_y
_atom_site_fract_z
La1 0.000 0.250 0.113
La2 0.000 0.250 0.283
Pt1 0.000 0.250 0.798
```

Summary:
The value obtained for the uncorrected energy is -5.860 eV per atom. The value obtained for the size of the total moment is 0.000 μB per formula unit. Its crystal system is tetragonal. The density comes out at 9.78 g cm⁻³. The value obtained for the density of states at the Fermi level is 2.68 states/eV/f.u. The formation energy comes out at -0.561 eV/atom.



VASP calculation (GGA-PBE) on a geometry-optimized La3Pt structure.

Structure (CIF):
```
data_La3Pt
_space_group_name_H-M_alt 'P m m n'
_space_group_IT_number 59
_cell_length_a 5.316
_cell_length_b 6.680
_cell_length_c 6.284
_cell_angle_alpha 90.00
_cell_angle_beta 90.00
_cell_angle_gamma 90.00
loop_
_space_group_symop_operation_xyz
'x,y,z'
'-x,-y,-z'
'-x+1/2,-y+1/2,z'
'x+1/2,y+1/2,-z'
'x+1/2,-y,-z'
'-x+1/2,y,z'
'-x,y+1/2,-z'
'x,-y+1/2,z'
loop_
_atom_site_label
_atom_site_fract_x
_atom_site_fract_y
_atom_site_fract_z
La1 0.250 0.018 0.120
La2 0.250 0.750 0.554
Pt1 0.250 0.250 0.688
```

Summary:
The value obtained for the uncorrected energy is -5.645 eV per atom. The value obtained for the size of the total moment is 0.000 μB per formula unit. Its crystal system is orthorhombic. The density comes out at 9.10 g cm⁻³. The value obtained for the density of states at the Fermi level is 4.38 states/eV/f.u. The formation energy comes out at -0.439 eV/atom.



VASP calculation (GGA-PBE) on a geometry-optimized La3Pt2 structure.

Structure (CIF):
```
data_La3Pt2
_space_group_name_H-M_alt 'P n m a'
_space_group_IT_number 62
_space_group_name_Hall '-P 2ac 2n'
_cell_length_a 11.773
_cell_length_b 4.110
_cell_length_c 11.891
_cell_angle_alpha 90.00
_cell_angle_beta 90.00
_cell_angle_gamma 90.00
loop_
_atom_site_label
_atom_site_fract_x
_atom_site_fract_y
_atom_site_fract_z
La1 0.059 0.250 0.134
La2 0.121 0.750 0.563
La3 0.221 0.250 0.813
Pt1 0.011 0.750 0.318
Pt2 0.179 0.750 0.992
```

Summary:
The value obtained for the uncorrected energy is -6.344 eV per atom. The value obtained for the size of the total moment is 0.000 μB per formula unit. As for the polymorph energy (0 for the lowest one): 17.9 meV/atom. Its crystal system is orthorhombic. The density comes out at 9.31 g cm⁻³. The value obtained for the density of states at the Fermi level is 4.93 states/eV/f.u. The formation energy comes out at -0.972 eV/atom.



VASP calculation (GGA-PBE) on a geometry-optimized LaPt5 structure.

Structure (CIF):
```
data_LaPt5
_space_group_name_H-M_alt 'C 1 2/m 1'
_space_group_IT_number 12
_space_group_name_Hall '-C 2y'
_cell_length_a 4.980
_cell_length_b 9.315
_cell_length_c 4.809
_cell_angle_alpha 90.00
_cell_angle_beta 90.09
_cell_angle_gamma 90.00
loop_
_atom_site_label
_atom_site_fract_x
_atom_site_fract_y
_atom_site_fract_z
La1 0.000 0.000 0.000
Pt1 0.000 0.200 0.500
Pt2 0.000 0.341 0.000
Pt3 0.000 0.500 0.500
```

Summary:
The value obtained for the uncorrected energy is -6.276 eV per atom. The value obtained for the size of the total moment is 0.000 μB per formula unit. Its crystal system is monoclinic. The density comes out at 16.59 g cm⁻³. The value obtained for the density of states at the Fermi level is 5.32 states/eV/f.u. The formation energy comes out at -0.421 eV/atom.



VASP calculation (GGA-PBE) on a geometry-optimized La2Pt structure.

Structure (CIF):
```
data_La2Pt
_space_group_name_H-M_alt 'C m c 21'
_space_group_IT_number 36
_space_group_name_Hall 'C 2c -2'
_cell_length_a 4.009
_cell_length_b 12.653
_cell_length_c 7.114
_cell_angle_alpha 90.00
_cell_angle_beta 90.00
_cell_angle_gamma 90.00
loop_
_atom_site_label
_atom_site_fract_x
_atom_site_fract_y
_atom_site_fract_z
La1 0.000 0.015 0.000
La2 0.000 0.286 0.797
Pt1 0.000 0.384 0.224
```

Summary:
The value obtained for the uncorrected energy is -6.126 eV per atom. The value obtained for the size of the total moment is 0.000 μB per formula unit. Its crystal system is orthorhombic. The density comes out at 8.70 g cm⁻³. The value obtained for the density of states at the Fermi level is 3.41 states/eV/f.u. The formation energy comes out at -0.828 eV/atom.



VASP calculation (GGA-PBE) on a geometry-optimized La3Pt structure.

Structure (CIF):
```
data_La3Pt
_space_group_name_H-M_alt 'I m m m'
_space_group_IT_number 71
_space_group_name_Hall '-I 2 2'
_cell_length_a 3.851
_cell_length_b 5.715
_cell_length_c 11.371
_cell_angle_alpha 90.00
_cell_angle_beta 90.00
_cell_angle_gamma 90.00
loop_
_atom_site_label
_atom_site_fract_x
_atom_site_fract_y
_atom_site_fract_z
La1 0.000 0.000 0.000
La2 0.000 0.500 0.198
Pt1 0.000 0.000 0.500
```

Summary:
The value obtained for the uncorrected energy is -5.729 eV per atom. The value obtained for the size of the total moment is 0.000 μB per formula unit. Its crystal system is orthorhombic. The density comes out at 8.12 g cm⁻³. The value obtained for the density of states at the Fermi level is 5.52 states/eV/f.u. The formation energy comes out at -0.524 eV/atom.



Question: Which of these has the lowest uncorrected energy?
Answer: La6Pt5



Please write out number 10 again, unchanged.
VASP calculation (GGA-PBE) on a geometry-optimized La3Pt structure.

Structure (CIF):
```
data_La3Pt
_space_group_name_H-M_alt 'I m m m'
_space_group_IT_number 71
_space_group_name_Hall '-I 2 2'
_cell_length_a 3.851
_cell_length_b 5.715
_cell_length_c 11.371
_cell_angle_alpha 90.00
_cell_angle_beta 90.00
_cell_angle_gamma 90.00
loop_
_atom_site_label
_atom_site_fract_x
_atom_site_fract_y
_atom_site_fract_z
La1 0.000 0.000 0.000
La2 0.000 0.500 0.198
Pt1 0.000 0.000 0.500
```

Summary:
The value obtained for the uncorrected energy is -5.729 eV per atom. The value obtained for the size of the total moment is 0.000 μB per formula unit. Its crystal system is orthorhombic. The density comes out at 8.12 g cm⁻³. The value obtained for the density of states at the Fermi level is 5.52 states/eV/f.u. The formation energy comes out at -0.524 eV/atom.



Question: What is the formula in the sixth record?
Answer: La3Pt